Compound: ScGaCuSe2
Source: the Alexandria database
Functional: PBE
Structure: relaxed

POSCAR file:
```
ScGaCuSe2
1.0
4.9328 0.0000 0.0000
0.0000 5.1177 0.0000
0.0000 0.0000 4.9328
Se Cu Sc Ga
2 1 1 1
direct
0.0000 0.0000 0.5000
0.5000 0.0000 0.0000
0.5000 0.5000 0.5000
0.0000 0.5000 0.0000
0.0000 0.0000 0.0000
```

Output
Volume in Å³/cell: 124.5
Total magnetic moment in Bohr magnetons per cell: 0.00
Formation energy without anion corrections in meV per atom: 444
Crystal system: tetragonal

---

Compound: Tl2CS
Source: the Alexandria database
Functional: PBE
Structure: relaxed

POSCAR file:
```
Tl2CS
1.0
-1.1068 -5.6721 0.0723
4.0635 -0.8442 -4.0223
5.3344 -3.9591 2.0677
C Tl S
2 4 2
direct
0.2500 0.7500 0.5000
0.5000 0.5000 0.0000
0.5527 0.1250 0.2500
0.8750 0.8027 0.7500
0.1973 0.6250 0.2500
0.3750 0.4473 0.7500
0.7500 0.2500 0.5000
0.0000 0.0000 0.0000
```

Output
Volume in Å³/cell: 188.1
Total magnetic moment in Bohr magnetons per cell: 0.00
Formation energy without anion corrections in meV per atom: 689
Crystal system: tetragonal

---

Q: What is the volume in the second record?
A: 188.1 Å³/cell

---

Q: Look up the formation energy without anion corrections of the first one.
A: 444 meV per atom

---

Q: Among the records above, which one has the highest volume?
A: Tl2CS